(1)
Ac12InPd7: relaxed, PBE.

The structure in POSCAR format:
```
Ac12InPd7
1.0
9.7771 -0.3825 -0.5742
-3.0861 9.2851 -0.5742
-3.0861 -4.1061 8.3476
Ac In Pd
12 1 7
direct
0.4066 0.1192 0.3258
0.6742 0.5934 0.8808
0.8808 0.6742 0.5934
0.3319 0.7384 0.8841
0.8841 0.3319 0.7384
0.2616 0.1159 0.6681
0.3258 0.4066 0.1192
0.7384 0.8841 0.3319
0.1192 0.3258 0.4066
0.5934 0.8808 0.6742
0.6681 0.2616 0.1159
0.1159 0.6681 0.2616
0.0000 0.0000 0.0000
0.0552 0.7292 0.9643
0.7292 0.9643 0.0552
0.0357 0.9448 0.2708
0.2708 0.0357 0.9448
0.9643 0.0552 0.7292
0.9448 0.2708 0.0357
0.5000 0.5000 0.5000
```

Summary:
E   -4.91 eV per atom
Space-group type   R-3
Mass density   8.50 g cm⁻³
DFT formation energy   -11.39 kcal/mol of atoms
M_tot   0.000 μB/atom

***

(2)
Rb3NaCd6: relaxed, PBE.

The structure in POSCAR format:
```
Rb3NaCd6
1.0
6.8019 0.0000 2.8624
2.3325 6.0026 3.9701
0.1901 0.4594 9.0611
Rb Cd Na
3 6 1
direct
0.4796 0.2850 0.7558
0.0000 0.0000 0.0000
0.5204 0.7150 0.2442
0.4499 0.3105 0.1904
0.9509 0.6895 0.8096
0.2309 0.9871 0.5511
0.5501 0.6895 0.8096
0.0491 0.3105 0.1904
0.7691 0.0129 0.4489
0.0000 0.5000 0.5000
```

Summary:
E   -0.98 eV per atom
Space-group type   C2/m
Mass density   4.43 g cm⁻³
DFT formation energy   -0.20 kcal/mol of atoms
M_tot   0.000 μB/atom

***

(3)
Li4Al2Cd: relaxed, PBE.

The structure in POSCAR format:
```
Li4Al2Cd
1.0
-2.2307 4.4031 -1.1844
-3.1714 -2.4595 -3.1706
-1.8660 0.5513 5.5641
Li Al Cd
4 2 1
direct
0.0000 0.8014 0.6027
0.5000 0.3649 0.7297
0.0000 0.1986 0.3973
0.5000 0.6351 0.2703
0.5000 0.1186 0.2373
0.5000 0.8814 0.7627
0.0000 0.5000 0.0000
```

Summary:
E   -2.18 eV per atom
Space-group type   Cmmm
Mass density   2.34 g cm⁻³
DFT formation energy   2.72 kcal/mol of atoms
M_tot   0.000 μB/atom
Polymorph energy (0 for the lowest one)   0.166 eV/atom

***

(4)
Pm4NdSm2Tm2: relaxed, PBE.

The structure in POSCAR format:
```
Pm4NdSm2Tm2
1.0
3.6122 0.0000 0.0000
-1.8061 9.2321 1.6350
0.0000 -1.5503 8.7279
Pm Sm Nd Tm
4 2 1 2
direct
0.7779 0.5558 0.6691
0.4440 0.8880 0.6674
0.2221 0.4442 0.3309
0.5560 0.1120 0.3326
0.8880 0.7760 0.3291
0.1120 0.2240 0.6709
0.0000 0.0000 0.0000
0.6685 0.3371 0.0001
0.3315 0.6629 0.9999
```

Summary:
E   -4.67 eV per atom
Space-group type   C2/m
Mass density   7.54 g cm⁻³
DFT formation energy   0.42 kcal/mol of atoms
M_tot   0.000 μB/atom

***

(5)
V3SiRh: relaxed, PBE.

The structure in POSCAR format:
```
V3SiRh
1.0
4.5271 0.0000 0.0000
0.0000 4.5271 0.0000
0.0000 0.0000 4.5271
V Rh Si
3 1 1
direct
0.5000 0.0000 0.0000
0.0000 0.5000 0.0000
0.0000 0.0000 0.5000
0.0000 0.0000 0.0000
0.5000 0.5000 0.5000
```

Summary:
E   -6.97 eV per atom
Space-group type   Pm-3m
Mass density   5.08 g cm⁻³
E_form (uncorrected)   1.056 eV/atom
M_tot   0.435 μB/atom
Polymorph energy (0 for the lowest one)   0.322 eV/atom

***

(6)
Pm5TlPt2: relaxed, PBE.

The structure in POSCAR format:
```
Pm5TlPt2
1.0
7.2804 0.0000 -3.4367
-1.6223 7.0973 -3.4367
-0.2286 -0.2868 8.9455
Pm Tl Pt
10 2 4
direct
0.5221 0.7029 0.7250
0.2971 0.7971 0.2750
0.0000 0.0000 0.0000
0.7029 0.2029 0.7250
0.5000 0.5000 0.0000
0.4779 0.2971 0.2750
0.7971 0.9779 0.2750
0.0221 0.5221 0.7250
0.2029 0.0221 0.7250
0.9779 0.4779 0.2750
0.7500 0.7500 0.5000
0.2500 0.2500 0.5000
0.1350 0.3650 0.0000
0.3650 0.8650 0.0000
0.6350 0.1350 0.0000
0.8650 0.6350 0.0000
```

Summary:
E   -5.50 eV per atom
Space-group type   I4/mcm
Mass density   9.78 g cm⁻³
DFT formation energy   -16.75 kcal/mol of atoms
M_tot   0.000 μB/atom

***

(7)
Ni3AsW: relaxed, PBE.

The structure in POSCAR format:
```
Ni3AsW
1.0
-1.7856 -0.7207 4.0893
-3.4279 -2.2563 -1.8944
2.3433 -3.8496 0.3448
W Ni As
1 3 1
direct
0.0000 0.0000 0.0000
0.0000 0.0000 0.5000
0.5000 0.0000 0.0000
0.0000 0.5000 0.0000
0.5000 0.5000 0.5000
```

Summary:
E   -5.56 eV per atom
Space-group type   Pm-3m
Mass density   7.82 g cm⁻³
DFT formation energy   32.95 kcal/mol of atoms
M_tot   0.000 μB/atom
Polymorph energy (0 for the lowest one)   0.479 eV/atom

***

(8)
KLaIr: relaxed, PBE.

The structure in POSCAR format:
```
KLaIr
1.0
8.0151 0.5412 -0.0078
5.9403 5.4047 0.0113
-6.9733 -2.9816 2.6420
K La Ir
1 1 1
direct
0.3664 0.3664 0.0000
0.6032 0.6033 0.0000
0.0304 0.0303 0.0000
```

Summary:
E   -5.06 eV per atom
Space-group type   I4mm
Mass density   5.80 g cm⁻³
DFT formation energy   -2.20 kcal/mol of atoms
M_tot   0.000 μB/atom
Polymorph energy (0 for the lowest one)   0.000 eV/atom